Density functional theory data (GGA-PBE) for a geometry-optimized Sc3Co structure.

DOS at the Fermi energy = 15.54 states/eV per cell
Magnetization = 1.856 Bohr magnetons per cell
Symmetry = Pm-3n (223)
Raw total energy = -6.379 eV/atom
ΔE_f = 0.1464 eV per atom

a b c (Å): 5.3776 5.3776 5.3776
angles (deg): 90.00 90.00 90.00
Element x y z (fractional)
Sc  0.0000  0.2500  0.5000
Sc  0.5000  0.0000  0.2500
Sc  0.0000  0.7500  0.5000
Sc  0.5000  0.0000  0.7500
Sc  0.7500  0.5000  0.0000
Sc  0.2500  0.5000  0.0000
Co  0.5000  0.5000  0.5000
Co  0.0000  0.0000  0.0000